No. 1
The following is a DFT calculation (meta-GGA SCAN) of RbTi2CdGa at its PBEsol-relaxed geometry. Values from VASP.

The formation enthalpy at 0 K comes out at 307.4 kJ/mol of formula units. The space-group type is P4/mmm (123). The value obtained for the density of states at the Fermi level is 0.8393 states/eV per atom. The total magnetic moment is 1.09 μB per atom. The raw total energy is -19.275 eV per atom.

```
&SYSTEM
  ibrav = 0, nat = 5, ntyp = 4
/
ATOMIC_SPECIES
Rb 85.47 Rb.upf
Ti 47.87 Ti.upf
Cd 112.41 Cd.upf
Ga 69.72 Ga.upf
CELL_PARAMETERS angstrom
5.086 0.000 0.000
0.000 5.086 0.000
0.000 0.000 5.188
ATOMIC_POSITIONS angstrom
Rb 0.000 0.000 0.000
Ti 0.000 2.543 2.594
Ti 2.543 0.000 2.594
Cd 2.543 2.543 0.000
Ga 2.543 2.543 2.594
```

No. 2
The following is a DFT calculation (meta-GGA SCAN) of RbZnCdGa2 at its PBEsol-relaxed geometry. Values from VASP.

The formation enthalpy at 0 K comes out at 628.2 kJ/mol of formula units. The space-group type is P4/mmm (123). The value obtained for the density of states at the Fermi level is 1.1767 states/eV per atom. The total magnetic moment is 0.00 μB per atom. The raw total energy is -18.170 eV per atom.

```
&SYSTEM
  ibrav = 0, nat = 5, ntyp = 4
/
ATOMIC_SPECIES
Rb 85.47 Rb.upf
Zn 65.41 Zn.upf
Cd 112.41 Cd.upf
Ga 69.72 Ga.upf
CELL_PARAMETERS angstrom
5.953 0.000 0.000
0.000 5.953 0.000
0.000 0.000 6.301
ATOMIC_POSITIONS angstrom
Rb 0.000 0.000 0.000
Zn 2.976 2.976 3.151
Cd 0.000 0.000 3.151
Ga 0.000 2.976 0.000
Ga 2.976 0.000 0.000
```

No. 3
The following is a DFT calculation (meta-GGA SCAN) of CdGa3Re at its PBEsol-relaxed geometry. Values from VASP.

The formation enthalpy at 0 K comes out at 795.5 kJ/mol of formula units. The space-group type is Pm-3m (221). The value obtained for the density of states at the Fermi level is 0.5565 states/eV per atom. The total magnetic moment is 0.76 μB per atom. The raw total energy is -28.461 eV per atom.

```
&SYSTEM
  ibrav = 0, nat = 5, ntyp = 3
/
ATOMIC_SPECIES
Cd 112.41 Cd.upf
Ga 69.72 Ga.upf
Re 186.21 Re.upf
CELL_PARAMETERS angstrom
4.899 0.000 0.000
0.000 4.899 0.000
0.000 0.000 4.899
ATOMIC_POSITIONS angstrom
Cd 0.000 0.000 0.000
Ga 0.000 0.000 2.450
Ga 0.000 2.450 0.000
Ga 2.450 0.000 0.000
Re 2.450 2.450 2.450
```